Entry from Alexandria via LeMat-Bulk: a relaxed structure of Ac6InRu2I3 (PBE-GGA).

## Properties
The space-group type is C2/m, No. 12. The value obtained for the density of states at the Fermi level is 7.056 states/eV/f.u. For the energy relative to the elements, uncorrected, the calculation gives -0.723 eV per atom. The total energy comes out at -59.26 eV/cell. For the total magnetic moment, the calculation gives 0.00 μB/f.u.

Unit cell a=7.8016 b=7.8016 c=9.0347 alpha=98.34 beta=98.34 gamma=119.98
With the nearest neighbours (Å) after each atom.
Element x y z (fractional)
Ac  0.0658  0.4359  0.8088  2 Ru 2.97
Ac  0.1940  0.1940  0.1901  2 Ru 2.97, 1 In 3.32
Ac  0.4359  0.0658  0.8088  2 Ru 2.97
Ac  0.5641  0.9342  0.1912  2 Ru 2.97
Ac  0.8060  0.8060  0.8099  2 Ru 2.97, 1 In 3.32
Ac  0.9342  0.5641  0.1912  2 Ru 2.97
In  0.5000  0.5000  0.0000  6 Ac 3.32-3.33
Ru  0.1669  0.8331  0.0000  6 Ac 2.97
Ru  0.8331  0.1669  0.0000  6 Ac 2.97
I  0.0000  0.0000  0.5000  6 Ac 3.55-3.83
I  0.3386  0.6614  0.5000  6 Ac 3.57-3.85
I  0.6614  0.3386  0.5000  6 Ac 3.57-3.85

=====

Entry from Alexandria via LeMat-Bulk: a relaxed structure of Th2PaSb (PBE-GGA).

## Properties
For the offset from the most stable computed form, the calculation gives 291.3 meV per atom. The space-group type is Fm-3m, No. 225. The value obtained for the density of states at the Fermi level is 8.065 states/eV/f.u. For the energy relative to the elements, uncorrected, the calculation gives 0.002 eV per atom. The total energy comes out at -28.45 eV/cell. For the total magnetic moment, the calculation gives 0.00 μB/f.u.

Unit cell a=5.4562 b=5.4562 c=5.4562 alpha=60.00 beta=60.00 gamma=60.00
With the nearest neighbours (Å) after each atom.
Element x y z (fractional)
Th  0.2500  0.2500  0.2500  4 Sb 3.34, 4 Pa 3.34
Th  0.7500  0.7500  0.7500  4 Pa 3.34, 4 Sb 3.34
Pa  0.0000  0.0000  0.0000  8 Th 3.34
Sb  0.5000  0.5000  0.5000  8 Th 3.34

=====

Entry from Alexandria via LeMat-Bulk: a relaxed structure of CrHg2 (PBE-GGA).

## Properties
The space-group type is P-62m, No. 189. The value obtained for the density of states at the Fermi level is 1.538 states/eV/f.u. The value obtained for the energy of formation from the pure elements is 0.429 eV/atom. The total energy comes out at -26.82 eV/cell. For the total magnetic moment, the calculation gives 4.25 μB/f.u.

Unit cell a=7.8635 b=7.8635 c=3.6060 alpha=90.00 beta=90.00 gamma=120.00
With the nearest neighbours (Å) after each atom.
Element x y z (fractional)
Cr  0.0000  0.0000  0.0000  9 Hg 2.83-3.07
Cr  0.3333  0.6667  0.5000  9 Hg 2.86-3.02
Cr  0.6667  0.3333  0.5000  9 Hg 2.86-3.02
Hg  0.0000  0.2781  0.5000  4 Cr 2.83-2.86, 2 Hg 3.17
Hg  0.0000  0.6091  0.0000  5 Cr 3.02-3.07, 6 Hg 3.17-3.28
Hg  0.2781  0.0000  0.5000  4 Cr 2.83-2.86, 2 Hg 3.17
Hg  0.3909  0.3909  0.0000  5 Cr 3.02-3.07, 6 Hg 3.17-3.28
Hg  0.6091  0.0000  0.0000  5 Cr 3.02-3.07, 6 Hg 3.17-3.28
Hg  0.7219  0.7219  0.5000  4 Cr 2.83-2.86, 2 Hg 3.17